[1]
DFT (PBE-GGA) results for a relaxed structure of Sr3AsSe.

Output
The uncorrected formation energy is -0.874 eV per atom. For the energy above the most stable polymorph in this dataset, the calculation gives 0.0 meV/atom. The calculation puts the total energy at -3.510 eV/atom. As for the space-group type: Pm-3m (221).

Cell lengths 5.888, 5.888, 5.888 Å; angles 90.00, 90.00, 90.00 degrees
Sites, in units of the cell vectors:
Sr: 0.000 0.000 0.500
Sr: 0.000 0.500 0.000
Sr: 0.500 0.000 0.000
As: 0.000 0.000 0.000
Se: 0.500 0.500 0.500


[2]
DFT (PBE-GGA) results for a relaxed structure of K3PdRh2O6.

Output
The uncorrected formation energy is -0.945 eV per atom. The calculation puts the total energy at -5.357 eV/atom. As for the space-group type: C2/m (12).

Cell lengths 5.643, 5.643, 6.090 Å; angles 99.72, 99.72, 118.20 degrees
Sites, in units of the cell vectors:
K: 0.000 0.000 0.000
K: 0.334 0.666 0.000
K: 0.666 0.334 0.000
Pd: 0.500 0.500 0.500
Rh: 0.166 0.834 0.500
Rh: 0.834 0.166 0.500
O: 0.105 0.436 0.334
O: 0.202 0.202 0.679
O: 0.436 0.105 0.334
O: 0.564 0.895 0.666
O: 0.798 0.798 0.321
O: 0.895 0.564 0.666


[3]
DFT (PBE-GGA) results for a relaxed structure of ZrPb2.

Output
The calculation puts the total energy at -5.151 eV/atom. As for the space-group type: C2/m (12). The energy relative to the elements is 171 meV per atom.

Cell lengths 5.351, 5.351, 3.200 Å; angles 91.99, 91.99, 60.92 degrees
Sites, in units of the cell vectors:
Zr: 0.000 0.000 0.000
Pb: 0.331 0.331 0.638
Pb: 0.669 0.669 0.362


[4]
DFT (PBE-GGA) results for a relaxed structure of GdDyYHo.

Output
The calculation puts the total energy at -7.312 eV/atom. As for the space-group type: F-43m (216). The energy relative to the elements is 119 meV per atom.

Cell lengths 5.671, 5.671, 5.671 Å; angles 60.00, 60.00, 60.00 degrees
Sites, in units of the cell vectors:
Gd: 0.000 0.000 0.000
Dy: 0.500 0.500 0.500
Y: 0.250 0.250 0.250
Ho: 0.750 0.750 0.750